Below is a geometry-optimized KReNO structure, with properties calculated at the PBE-GGA level.

The density is 6.5 Mg/m³. The energy above the most stable polymorph in this dataset comes out at 0.1656 eV/atom.

The structure in CIF format:
```
data_KReNO
_chemical_formula_sum 'K4 Re4 N4 O4'
_cell_length_a 6.3361
_cell_length_b 8.4058
_cell_length_c 4.8860
_cell_angle_alpha 90.00
_cell_angle_beta 90.00
_cell_angle_gamma 90.00
_space_group_name_H-M_alt 'P c a 21'
_space_group_IT_number 29
loop_
_space_group_symop_operation_xyz
'x,y,z'
'-x,-y,z+1/2'
'-x+1/2,y,z+1/2'
'x+1/2,-y,z'
loop_
_atom_site_label
_atom_site_type_symbol
_atom_site_fract_x
_atom_site_fract_y
_atom_site_fract_z
K1 K 0.1025 0.1612 0.0000
Re1 Re 0.1486 0.6370 0.9999
N1 N 0.0702 0.8342 0.9996
O1 O 0.0895 0.4955 0.6426
```